(1)
VASP calculation (PBE) on a relaxed structure of NaDyCoTe3.

a = 11.3310 Å, b = 4.1753 Å, c = 14.5490 Å
α = 90.00°, β = 90.00°, γ = 90.00°
Fractional positions:
Na  0.2196  0.2500  0.0060
Na  0.2804  0.7500  0.5060
Na  0.7196  0.2500  0.4940
Na  0.7804  0.7500  0.9940
Dy  0.0197  0.7500  0.7429
Dy  0.4803  0.2500  0.2429
Dy  0.5197  0.7500  0.7571
Dy  0.9803  0.2500  0.2571
Co  0.2356  0.7500  0.2216
Co  0.2644  0.2500  0.7216
Co  0.7356  0.7500  0.2784
Co  0.7644  0.2500  0.7784
Te  0.0543  0.7500  0.1150
Te  0.0944  0.2500  0.6034
Te  0.2343  0.2500  0.3296
Te  0.2657  0.7500  0.8296
Te  0.4056  0.7500  0.1034
Te  0.4457  0.2500  0.6150
Te  0.5543  0.7500  0.3850
Te  0.5944  0.2500  0.8966
Te  0.7343  0.2500  0.1704
Te  0.7657  0.7500  0.6704
Te  0.9056  0.7500  0.3966
Te  0.9457  0.2500  0.8850

Values from the calculation:
* space group: No. 62

=====

(2)
VASP calculation (PBE) on a relaxed structure of NaNdBiSe3.

a = 7.6675 Å, b = 7.6675 Å, c = 11.2108 Å
α = 90.00°, β = 90.00°, γ = 147.28°
Fractional positions:
Na  0.2489  0.7511  0.7500
Na  0.7511  0.2489  0.2500
Nd  0.0000  0.0000  0.0000
Nd  0.0000  0.0000  0.5000
Bi  0.4636  0.5364  0.2500
Bi  0.5364  0.4636  0.7500
Se  0.1108  0.8892  0.2500
Se  0.3602  0.6398  0.0406
Se  0.3602  0.6398  0.4594
Se  0.6398  0.3602  0.5406
Se  0.6398  0.3602  0.9594
Se  0.8892  0.1108  0.7500

Values from the calculation:
* space group: No. 63

=====

(3)
VASP calculation (PBE) on a relaxed structure of Sc6Ga16Os7.

a = 8.7990 Å, b = 8.7990 Å, c = 8.7990 Å
α = 60.00°, β = 60.00°, γ = 60.00°
Fractional positions:
Sc  0.2268  0.2268  0.7732
Sc  0.2268  0.7732  0.2268
Sc  0.2268  0.7732  0.7732
Sc  0.7732  0.2268  0.2268
Sc  0.7732  0.2268  0.7732
Sc  0.7732  0.7732  0.2268
Ga  0.1274  0.6242  0.6242
Ga  0.1541  0.1541  0.1541
Ga  0.1541  0.1541  0.5376
Ga  0.1541  0.5376  0.1541
Ga  0.3758  0.3758  0.3758
Ga  0.3758  0.3758  0.8726
Ga  0.3758  0.8726  0.3758
Ga  0.4624  0.8459  0.8459
Ga  0.5376  0.1541  0.1541
Ga  0.6242  0.1274  0.6242
Ga  0.6242  0.6242  0.1274
Ga  0.6242  0.6242  0.6242
Ga  0.8459  0.4624  0.8459
Ga  0.8459  0.8459  0.4624
Ga  0.8459  0.8459  0.8459
Ga  0.8726  0.3758  0.3758
Os  0.0000  0.0000  0.5000
Os  0.0000  0.5000  0.0000
Os  0.0000  0.5000  0.5000
Os  0.5000  0.0000  0.0000
Os  0.5000  0.0000  0.5000
Os  0.5000  0.5000  0.0000
Os  0.5000  0.5000  0.5000

Values from the calculation:
* space group: No. 225

=====

The following total energy values (in eV per atom) correspond, in order, to the records above: -4.50, -4.32, -6.08.